[1]
Entry from the Alexandria database: Ac2CoRu after structural relaxation (PBE).

Cell lengths 5.2245, 5.2245, 3.6578 Å; angles 90.00, 90.00, 90.00 degrees
Space group P4/mmm (No. 123)
Symmetry-distinct sites (fractional):
Ac (0.0000, 0.5000, 0.0000) (multiplicity 2)
Co (0.0000, 0.0000, 0.5000) (multiplicity 1)
Ru (0.5000, 0.5000, 0.5000) (multiplicity 1)

Calculated values
M_tot   1.00 Bohr magnetons per cell
Final energy   -5.98 eV per atom
Calculated formation energy   0.1722 eV/atom
DOS at the Fermi energy   1.11 states/eV/atom

***

[2]
Entry from the Alexandria database: Ac5CoRu after structural relaxation (PBE).

Cell lengths 11.1231, 9.1551, 11.1466 Å; angles 90.00, 111.69, 90.00 degrees
Space group C2/c (No. 15)
Symmetry-distinct sites (fractional):
Ac (0.0000, 0.2483, 0.2500) (multiplicity 4)
Ac (0.1072, 0.1767, 0.6551) (multiplicity 8)
Ac (0.1791, 0.4502, 0.9977) (multiplicity 8)
Co (0.0000, 0.4287, 0.7500) (multiplicity 4)
Ru (0.2500, 0.2500, 0.5000) (multiplicity 4)

Calculated values
M_tot   0.00 Bohr magnetons per cell
Final energy   -5.25 eV per atom
Calculated formation energy   0.0274 eV/atom
DOS at the Fermi energy   1.05 states/eV/atom

***

[3]
Entry from the Alexandria database: Ac2CoRu after structural relaxation (PBE).

Cell lengths 7.3460, 4.2418, 7.9937 Å; angles 90.00, 107.90, 90.00 degrees
Space group Cm (No. 8)
Symmetry-distinct sites (fractional):
Ac (0.0000, 0.0000, 0.0000) (multiplicity 2)
Ac (0.1739, 0.0000, 0.5205) (multiplicity 2)
Co (0.4194, 0.0000, 0.2566) (multiplicity 2)
Ru (0.2548, 0.5000, 0.2642) (multiplicity 2)

Calculated values
M_tot   2.67 Bohr magnetons per cell
Final energy   -6.25 eV per atom
Calculated formation energy   -0.0979 eV/atom
DOS at the Fermi energy   1.65 states/eV/atom

***

[4]
Entry from the Alexandria database: Ac12Co5Ru3 after structural relaxation (PBE).

Cell lengths 17.1283, 17.1283, 17.1283 Å; angles 90.00, 90.00, 90.00 degrees
Space group Ia-3d (No. 230)
Symmetry-distinct sites (fractional):
Ac (0.0260, 0.0639, 0.6526) (multiplicity 96)
Co (0.0000, 0.0000, 0.0000) (multiplicity 16)
Co (0.0000, 0.2500, 0.3750) (multiplicity 24)
Ru (0.0000, 0.2500, 0.1250) (multiplicity 24)

Calculated values
M_tot   0.00 Bohr magnetons per cell
Final energy   -5.43 eV per atom
Calculated formation energy   0.2046 eV/atom
DOS at the Fermi energy   0.88 states/eV/atom

***

What did the fourth record say?
Entry from the Alexandria database: Ac12Co5Ru3 after structural relaxation (PBE).

Cell lengths 17.1283, 17.1283, 17.1283 Å; angles 90.00, 90.00, 90.00 degrees
Space group Ia-3d (No. 230)
Symmetry-distinct sites (fractional):
Ac (0.0260, 0.0639, 0.6526) (multiplicity 96)
Co (0.0000, 0.0000, 0.0000) (multiplicity 16)
Co (0.0000, 0.2500, 0.3750) (multiplicity 24)
Ru (0.0000, 0.2500, 0.1250) (multiplicity 24)

Calculated values
M_tot   0.00 Bohr magnetons per cell
Final energy   -5.43 eV per atom
Calculated formation energy   0.2046 eV/atom
DOS at the Fermi energy   0.88 states/eV/atom

***

> Look up the DOS at the Fermi energy of the first one.

1.11 states/eV/atom

***

> Among the records above, which one has the highest final energy?

Ac5CoRu